No. 1
Density functional theory data (GGA-PBE) for an optimized crystal structure of PmY7Sc4.

The calculation puts the magnetic moment at 0.00 μB per formula unit. The calculation puts the formation energy at 0.108 eV/atom.

The structure belongs to space group P-1 (No. 2); the cell edges are 6.4037, 6.5125 and 8.9635 Å and the angles 90.02°, 103.76° and 95.55°. The distinct sites, in fractional coordinates, are Pm at (0.0000, 0.0000, 0.0000), Y at (0.0000, 0.5000, 0.0000), Y at (0.1945, 0.8652, 0.5962), Y at (0.3003, 0.3301, 0.3710), Y at (0.4796, 0.7448, 0.9439), Sc at (0.1599, 0.3578, 0.7074) and Sc at (0.3735, 0.8264, 0.2822).

No. 2
Density functional theory data (GGA-PBE) for an optimized crystal structure of BeAg3Mo.

The calculation puts the magnetic moment at 0.00 μB per formula unit. The calculation puts the formation energy at 0.895 eV/atom.

The structure belongs to space group Pm-3m (No. 221); the cell edges are 4.3491, 4.3491 and 4.3491 Å and the angles 90.00°, 90.00° and 90.00°. The distinct sites, in fractional coordinates, are Be at (0.0000, 0.0000, 0.0000), Ag at (0.0000, 0.0000, 0.5000) and Mo at (0.5000, 0.5000, 0.5000).

No. 3
Density functional theory data (GGA-PBE) for an optimized crystal structure of AcTb2TmSb4.

The value obtained for the uncorrected formation energy is -8.8 eV/f.u. The calculation puts the magnetic moment at 0.00 μB per formula unit.

The structure belongs to space group P2/m (No. 10); the cell edges are 7.7750, 4.4960 and 7.7855 Å and the angles 90.00°, 109.42° and 90.00°. The distinct sites, in fractional coordinates, are Ac at (0.0000, 0.0000, 0.0000), Tb at (0.0000, 0.5000, 0.5000), Tb at (0.5000, 0.0000, 0.5000), Tm at (0.5000, 0.5000, 0.0000), Sb at (0.2603, 0.0000, 0.7458) and Sb at (0.2665, 0.5000, 0.2634).

No. 4
Density functional theory data (GGA-PBE) for an optimized crystal structure of ErBe17W.

The calculation puts the magnetic moment at 0.00 μB per formula unit. The calculation puts the formation energy at -0.118 eV/atom.

The structure belongs to space group R3m (No. 160, hexagonal axes); the cell edges are 7.4581, 7.4581 and 10.8718 Å and the angles 90.00°, 90.00° and 120.00°. The distinct sites, in fractional coordinates, are Er at (0.0000, 0.0000, 0.0000), Be at (0.0000, 0.0000, 0.5592), Be at (0.0000, 0.0000, 0.7530), Be at (0.0028, 0.5014, 0.1596), Be at (0.0459, 0.3745, 0.3279), Be at (0.1678, 0.3357, 0.1530), Be at (0.1710, 0.3419, 0.8390) and W at (0.0000, 0.0000, 0.3240).

No. 5
Density functional theory data (GGA-PBE) for an optimized crystal structure of CrRuN.

The value obtained for the uncorrected formation energy is -0.2 eV/f.u. The calculation puts the magnetic moment at 0.06 μB per formula unit.

The structure belongs to space group Cm (No. 8); the cell edges are 11.4260, 2.8203 and 4.1313 Å and the angles 90.00°, 90.81° and 90.00°. The distinct sites, in fractional coordinates, are Cr at (0.0000, 0.0000, 0.0000), Cr at (0.2245, 0.0000, 0.9252), Ru at (0.1508, 0.5000, 0.4183), Ru at (0.3762, 0.0000, 0.4400), N at (0.1199, 0.5000, 0.9095) and N at (0.3901, 0.0000, 0.9388).